(1)
A plane-wave DFT calculation with PBE was carried out for CrBSeN2 after structural relaxation.

Unit cell a=3.557 b=3.557 c=5.259 alpha=90.00 beta=90.00 gamma=90.00
Space group P4/mmm (No. 123)
Inequivalent atoms, fractional coordinates:
Cr  0.000  0.000  0.000 x1
B  0.500  0.500  0.500 x1
Se  0.000  0.000  0.500 x1
N  0.000  0.500  0.000 x2

Total magnetic moment ... 0.000 μB/atom
Volume ... 67 Å³ per cell
Total energy ... -6.221 eV per atom
Raw formation energy ... 1.0662 eV/atom



(2)
A plane-wave DFT calculation with PBE was carried out for Pu5ZrRu6 after structural relaxation.

Unit cell a=4.721 b=14.159 c=6.791 alpha=90.00 beta=90.00 gamma=90.00
Space group Cmmm (No. 65)
Inequivalent atoms, fractional coordinates:
Pu  0.000  0.000  0.000 x2
Pu  0.000  0.335  0.000 x4
Pu  0.000  0.335  0.500 x4
Zr  0.000  0.000  0.500 x2
Ru  0.000  0.165  0.252 x8
Ru  0.000  0.500  0.260 x4

Total magnetic moment ... 0.345 μB/atom
Volume ... 454 Å³ per cell
Energy of formation from the pure elements ... -139.6 meV/atom
Total energy ... -11.461 eV per atom



(3)
A plane-wave DFT calculation with PBE was carried out for KNaPuI4 after structural relaxation.

Unit cell a=9.330 b=9.367 c=15.161 alpha=90.00 beta=90.00 gamma=90.00
Space group Imma (No. 74)
Inequivalent atoms, fractional coordinates:
K  0.000  0.250  0.112 x4
Na  0.000  0.000  0.500 x4
Pu  0.250  0.250  0.750 x4
I  0.000  0.012  0.732 x8
I  0.233  0.250  0.537 x8

Total magnetic moment ... 0.857 μB/atom
Volume ... 1325 Å³ per cell
Total energy ... -4.453 eV per atom
Raw formation energy ... -1.1750 eV/atom



(4)
A plane-wave DFT calculation with PBE was carried out for TaBe8 after structural relaxation.

Unit cell a=7.086 b=7.086 c=3.397 alpha=90.00 beta=90.00 gamma=90.00
Space group I4/mmm (No. 139)
Inequivalent atoms, fractional coordinates:
Ta  0.000  0.000  0.000 x2
Be  0.000  0.349  0.000 x8
Be  0.188  0.188  0.500 x8

Total magnetic moment ... 0.000 μB/atom
Volume ... 171 Å³ per cell
Energy of formation from the pure elements ... 83.3 meV/atom
Total energy ... -4.546 eV per atom



(5)
A plane-wave DFT calculation with PBE was carried out for Sr2H4Pt after structural relaxation.

Unit cell a=3.834 b=3.834 c=14.916 alpha=90.00 beta=90.00 gamma=90.00
Space group I4/mmm (No. 139)
Inequivalent atoms, fractional coordinates:
Sr  0.000  0.000  0.131 x4
H  0.000  0.000  0.384 x4
H  0.000  0.500  0.000 x4
Pt  0.000  0.000  0.500 x2

Total magnetic moment ... 0.000 μB/atom
Volume ... 219 Å³ per cell
Total energy ... -3.745 eV per atom



(6)
A plane-wave DFT calculation with PBE was carried out for Ac7Cd2Os2 after structural relaxation.

Unit cell a=8.665 b=12.130 c=7.703 alpha=90.00 beta=90.00 gamma=90.00
Space group Cmmm (No. 65)
Inequivalent atoms, fractional coordinates:
Ac  0.000  0.000  0.000 x2
Ac  0.000  0.500  0.240 x4
Ac  0.250  0.250  0.249 x8
Cd  0.166  0.000  0.500 x4
Os  0.000  0.299  0.000 x4

Total magnetic moment ... 0.000 μB/atom
Volume ... 810 Å³ per cell
Energy of formation from the pure elements ... -68.4 meV/atom
Total energy ... -4.891 eV per atom



(7)
A plane-wave DFT calculation with PBE was carried out for Li2InHg4 after structural relaxation.

Unit cell a=5.540 b=5.540 c=14.316 alpha=90.00 beta=90.00 gamma=90.00
Space group I4/mmm (No. 139)
Inequivalent atoms, fractional coordinates:
Li  0.000  0.000  0.097 x4
In  0.000  0.000  0.500 x2
Hg  0.000  0.000  0.283 x4
Hg  0.000  0.500  0.000 x4

Total magnetic moment ... 0.000 μB/atom
Volume ... 439 Å³ per cell
Energy of formation from the pure elements ... 21.5 meV/atom
Total energy ... -1.089 eV per atom



(8)
A plane-wave DFT calculation with PBE was carried out for NaPaHgI6 after structural relaxation.

Unit cell a=7.9371 b=7.9371 c=18.4402 alpha=90.00 beta=90.00 gamma=120.00
Space group P-31c (No. 163)
Inequivalent atoms, fractional coordinates:
Na  0.3333  0.6667  0.2500 x2
Pa  0.3333  0.6667  0.7500 x2
Hg  0.0000  0.0000  0.0000 x2
I  0.0287  0.3665  0.6559 x12

Total magnetic moment ... 0.000 μB/atom
Volume ... 1006 Å³ per cell
Total energy ... -3.166 eV per atom
Raw formation energy ... -0.8975 eV/atom



> Among the records above, which one has the highest volume?

KNaPuI4



> Among the records above, which one has the highest volume?

KNaPuI4



> The lowest total energy belongs to which entry?

Pu5ZrRu6